A relaxed LaTb8 crystal. Source: Alexandria via LeMat-Bulk, functional PBE-GGA.

Cell: 10.757 10.757 5.064 Å, 90.00 90.00 90.00°
Space group I4/mmm (No. 139)
Asymmetric unit:
La  0.000  0.000  0.000 x2
Tb  0.000  0.335  0.000 x8
Tb  0.168  0.168  0.500 x8

## Properties
calculated density = 7.993 g/cm³
energy of formation = 0.021 eV per atom